A.
{"formula": "HfVP2O", "functional": "GGA+U", "state": "optimized geometry", "volume_a3_per_atom": 15.90, "total_magnetization_mub_per_fu": 0.00, "space_group": "P4/mmm, No. 123", "lattice_angstrom": [[4.7277, 0.0000, 0.0000], [0.0000, 4.7277, 0.0000], [0.0000, 0.0000, 3.5567]], "species": ["P", "P", "Hf", "V", "O"], "frac_coords": [[0.0000, 0.5000, 0.0000], [0.5000, 0.0000, 0.0000], [0.5000, 0.5000, 0.5000], [0.0000, 0.0000, 0.0000], [0.0000, 0.0000, 0.5000]]}


B.
{"formula": "HfVP2O", "functional": "GGA+U", "state": "optimized geometry", "volume_a3_per_atom": 20.22, "total_magnetization_mub_per_fu": 2.07, "space_group": "P4/mmm, No. 123", "lattice_angstrom": [[-4.7271, 1.8003, -0.3846], [-1.8383, -4.5598, 1.2502], [0.0759, 1.0101, 3.7956]], "species": ["P", "P", "O", "Hf", "V"], "frac_coords": [[0.5000, 0.0000, 0.0000], [0.0000, 0.5000, 0.0000], [0.0000, 0.0000, 0.5000], [0.0000, 0.0000, 0.0000], [0.5000, 0.5000, 0.5000]]}


Last place for stability: B


A.
{"formula": "HfVPO2", "functional": "GGA+U", "state": "optimized geometry", "volume_a3_per_atom": 14.18, "total_magnetization_mub_per_fu": 1.55, "space_group": "P4/mmm, No. 123", "lattice_angstrom": [[3.7616, 0.0000, 0.0000], [0.0000, 3.7616, 0.0000], [0.0000, 0.0000, 5.0116]], "species": ["Hf", "P", "V", "O", "O"], "frac_coords": [[0.5000, 0.5000, 0.5000], [0.0000, 0.0000, 0.5000], [0.0000, 0.0000, 0.0000], [0.0000, 0.5000, 0.0000], [0.5000, 0.0000, 0.0000]]}


B.
{"formula": "HfVPO2", "functional": "GGA+U", "state": "optimized geometry", "volume_a3_per_atom": 17.24, "total_magnetization_mub_per_fu": 2.38, "space_group": "P4/mmm, No. 123", "lattice_angstrom": [[-1.6090, 1.4200, 3.3589], [-2.5709, -3.0454, 0.0560], [3.5202, -2.9179, 2.9198]], "species": ["O", "O", "V", "Hf", "P"], "frac_coords": [[0.0000, 0.5000, 0.0000], [0.5000, 0.0000, 0.0000], [0.5000, 0.5000, 0.5000], [0.0000, 0.0000, 0.0000], [0.0000, 0.0000, 0.5000]]}


Last place for stability: A